(1)
This record from the Open Quantum Materials Database describes a relaxed PaNiGe crystal. The functional is PBE.

theoretical density = 10.85 g cm⁻³
space-group type = P3m1 (156)
energy = -7.19 eV/atom

Lattice parameters (Å, degrees): 4.1215 4.1215 3.7703 90.00 90.00 120.00
Atoms (fractional coordinates):
Ge (0.0000, 0.0000, 0.1396)
Ni (0.6667, 0.3333, 0.2052)
Pa (0.3333, 0.6667, 0.6551)

---

(2)
This record from the Open Quantum Materials Database describes a relaxed PaNiGe crystal. The functional is PBE.

theoretical density = 10.27 g cm⁻³
space-group type = F-43m (216)
energy = -7.11 eV/atom

Lattice parameters (Å, degrees): 4.3594 4.3594 4.3594 60.00 60.00 60.00
Atoms (fractional coordinates):
Ge (0.2500, 0.2500, 0.2500)
Ni (0.0000, 0.0000, 0.0000)
Pa (0.7500, 0.7500, 0.7500)

---

(3)
This record from the Open Quantum Materials Database describes a relaxed PaNiGe crystal. The functional is PBE.

theoretical density = 8.89 g cm⁻³
space-group type = F-43m (216)
energy = -6.33 eV/atom

Lattice parameters (Å, degrees): 4.5738 4.5738 4.5738 60.00 60.00 60.00
Atoms (fractional coordinates):
Ge (0.2500, 0.2500, 0.2500)
Ni (0.7500, 0.7500, 0.7500)
Pa (0.0000, 0.0000, 0.0000)

---

The total magnetic moment results, record by record, are as follows: 0.02; 0.12; 0.00 μB per formula unit.